Entry 1:
V3Pb2O9 at its PBEsol-relaxed geometry. Source: Alexandria, functional meta-GGA SCAN.

a b c (Å): 7.3957 8.8843 12.3615
angles (deg): 69.98 86.92 78.26
Site moments in Bohr magnetons follow the coordinates.
Element x y z (fractional)
O1 0.6873 0.8144 0.3589  0.00
Pb1 0.9029 0.5636 0.3433  0.00
O2 0.2984 0.1729 0.4127  0.00
O3 0.6784 0.5019 0.5450  0.00
V1 0.4110 0.5136 0.3241  0.04
O4 0.3216 0.4981 0.4550  0.00
O5 0.0161 0.7416 0.4742  0.00
O6 0.2342 0.0292 0.2623  0.00
O7 0.1953 0.9274 0.6039  0.00
O8 0.8060 0.6878 0.1420  0.00
O9 0.9839 0.2584 0.5258  0.00
O10 0.2619 0.4715 0.2370  0.00
Pb2 0.8311 0.2841 0.9510  0.00
Pb3 0.4163 0.0616 0.8410  0.00
V2 0.2819 0.7576 0.7524  0.98
O11 0.8594 0.1095 0.1626  0.00
O12 0.5170 0.1938 0.2352  -0.10
Pb4 0.1689 0.7159 0.0490  0.00
O13 0.1755 0.0007 0.0466  0.00
O14 0.9405 0.2089 0.7636  0.00
Pb5 0.3255 0.7861 0.4516  0.01
O15 0.8032 0.6718 0.9147  0.00
Pb6 0.5837 0.9384 0.1590  0.00
Pb7 0.6745 0.2139 0.5484  0.01
O16 0.0595 0.7911 0.2364  0.00
O17 0.1968 0.3282 0.0853  0.00
O18 0.7381 0.5285 0.7630  0.00
O19 0.9865 0.3023 0.2701  -0.10
O20 0.1406 0.8905 0.8374  0.00
O21 0.7016 0.8271 0.5873  0.00
O22 0.7658 0.9708 0.7377  0.00
O23 0.4372 0.7076 0.2649  0.00
O24 0.1940 0.3122 0.8580  0.00
V3 0.0831 0.9854 0.1770  0.04
O25 0.8245 0.9993 0.9534  0.00
O26 0.3035 0.5730 0.8955  0.00
V4 0.9169 0.0146 0.8230  0.04
O27 0.3661 0.6116 0.6625  0.00
O28 0.5628 0.2924 0.7351  0.00
O29 0.3127 0.1856 0.6411  0.00
V5 0.7181 0.2424 0.2476  0.98
Pb8 0.0971 0.4364 0.6567  0.00
O30 0.5191 0.2442 0.9752  0.00
V6 0.5890 0.4864 0.6759  0.04
V7 0.6945 0.6351 0.0456  0.06
V8 0.3055 0.3649 0.9544  0.06
V9 0.1962 0.1350 0.5452  0.05
O31 0.4830 0.8062 0.7648  -0.10
O32 0.6965 0.4270 0.1045  0.00
O33 0.6339 0.3884 0.3375  0.00
V10 0.8038 0.8650 0.4548  0.05
V11 0.2123 0.2578 0.2515  0.95
V12 0.7877 0.7422 0.7485  0.95
O34 0.8047 0.0726 0.3961  0.00
O35 0.0135 0.6977 0.7299  -0.10
O36 0.4809 0.7558 0.0248  0.00

V = 747 Å³/cell
electronic total energy = -20.843 eV per atom
space group = P-1
formation energy without anion corrections = -2263 meV/atom
magnetic moment = 1.00 μB/f.u.
calculated density = 6.324 g cm⁻³
E above lowest polymorph = 0 meV/atom

***

Entry 2:
V3Pb5O12 at its PBEsol-relaxed geometry. Source: Alexandria, functional meta-GGA SCAN.

a b c (Å): 7.3411 10.0288 10.0288
angles (deg): 120.00 90.00 90.00
Element x y z (fractional)
Pb1 0.0071 0.3333 0.6667
O1 0.2500 0.8906 0.4020
V1 0.2500 0.9756 0.6017
O2 0.4365 0.9099 0.6544
V2 0.2500 0.3983 0.3739
O3 0.7500 0.4886 0.8906
O4 0.9365 0.2555 0.9099
O5 0.2500 0.5142 0.8248
O6 0.5635 0.0901 0.3456
Pb2 0.7500 0.2464 0.2447
O7 0.2500 0.5114 0.1094
O8 0.7500 0.4858 0.1752
Pb3 0.4929 0.3333 0.6667
V3 0.7500 0.6017 0.6261
O9 0.7500 0.6893 0.5142
O10 0.9365 0.0901 0.3456
O11 0.7500 0.1094 0.5980
O12 0.4365 0.7445 0.0901
O13 0.0635 0.3456 0.2555
Pb4 0.7500 0.7553 0.0017
O14 0.7500 0.8248 0.3107
V4 0.7500 0.3739 0.9756
Pb5 0.2500 0.2447 0.9983
Pb6 0.5071 0.6667 0.3333
V5 0.2500 0.6261 0.0244
O15 0.2500 0.3107 0.4858
O16 0.4365 0.3456 0.2555
O17 0.9365 0.6544 0.7445
O18 0.2500 0.1752 0.6893
Pb7 0.7500 0.9983 0.7536
O19 0.0635 0.9099 0.6544
Pb8 0.2500 0.0017 0.2464
O20 0.5635 0.2555 0.9099
Pb9 0.2500 0.7536 0.7553
O21 0.5635 0.6544 0.7445
V6 0.7500 0.0244 0.3983
O22 0.2500 0.5980 0.4886
O23 0.0635 0.7445 0.0901
O24 0.7500 0.4020 0.5114
Pb10 0.9929 0.6667 0.3333

V = 639 Å³/cell
electronic total energy = -27.265 eV per atom
space group = P6_3/m
formation energy without anion corrections = -1958 meV/atom
magnetic moment = 0.00 μB/f.u.
calculated density = 7.172 g cm⁻³

***

Entry 3:
V5Pb2O12 at its PBEsol-relaxed geometry. Source: Alexandria, functional meta-GGA SCAN.

a b c (Å): 5.1758 8.2717 11.7723
angles (deg): 98.64 90.00 90.00
Site moments in Bohr magnetons follow the coordinates.
Element x y z (fractional)
V1 0.8776 0.8466 0.5249  1.04
O1 0.4224 0.5456 0.6357  -0.09
O2 0.0573 0.5000 0.2500  0.02
O3 0.9667 0.3646 0.5304  0.00
O4 0.5724 0.0000 0.2500  -0.10
O5 0.0193 0.9394 0.3944  0.00
Pb1 0.3592 0.2791 0.1792  0.01
O6 0.4344 0.8281 0.0104  -0.09
V2 0.1124 0.0000 0.7500  1.04
O7 0.0333 0.3646 0.0304  0.00
Pb2 0.6408 0.2791 0.6792  0.01
V3 0.1224 0.1534 0.4751  1.04
O8 0.0085 0.2126 0.3297  0.00
O9 0.4344 0.1719 0.4896  -0.09
O10 0.9807 0.0606 0.6056  0.00
V4 0.1090 0.4363 0.8824  1.02
O11 0.0085 0.7874 0.1703  0.00
O12 0.5776 0.5456 0.1357  -0.09
O13 0.4276 0.0000 0.7500  -0.10
V5 0.8876 0.0000 0.2500  1.04
V6 0.8776 0.1534 0.9751  1.04
O14 0.5656 0.1719 0.9896  -0.09
O15 0.9427 0.5000 0.7500  0.02
O16 0.9667 0.6354 0.9696  0.00
O17 0.0333 0.6354 0.4696  0.00
O18 0.0193 0.0606 0.1056  0.00
V7 0.8910 0.4363 0.3824  1.02
V8 0.1224 0.8466 0.0249  1.04
O19 0.4224 0.4544 0.8643  -0.09
O20 0.9915 0.7874 0.6703  0.00
V9 0.8910 0.5637 0.1176  1.02
O21 0.5776 0.4544 0.3643  -0.09
V10 0.1090 0.5637 0.6176  1.02
Pb3 0.6408 0.7209 0.8208  0.01
Pb4 0.3592 0.7209 0.3209  0.01
O22 0.5656 0.8281 0.5104  -0.09
O23 0.9807 0.9394 0.8944  0.00
O24 0.9915 0.2126 0.8297  0.00

V = 498 Å³/cell
electronic total energy = -18.887 eV per atom
space group = P2/c
formation energy without anion corrections = -2372 meV/atom
magnetic moment = 5.00 μB/f.u.
calculated density = 5.739 g cm⁻³

***

Entry 4:
PbWO4 at its PBEsol-relaxed geometry. Source: Alexandria, functional meta-GGA SCAN.

a b c (Å): 5.0111 5.8857 6.8255
angles (deg): 113.24 108.92 95.71
Element x y z (fractional)
O1 0.9918 0.6722 0.9294
O2 0.1713 0.8488 0.3979
W1 0.8457 0.5957 0.1914
O3 0.8287 0.1512 0.6021
W2 0.1543 0.4043 0.8086
O4 0.0082 0.3278 0.0706
O5 0.5624 0.7427 0.0706
O6 0.4376 0.2573 0.9294
O7 0.2734 0.4509 0.6021
O8 0.7266 0.5491 0.3979
Pb1 0.6153 0.8653 0.7306
Pb2 0.3847 0.1347 0.2694

V = 169 Å³/cell
electronic total energy = -30.376 eV per atom
space group = C2/c
formation energy without anion corrections = -1977 meV/atom
magnetic moment = 0.00 μB/f.u.
calculated density = 8.948 g cm⁻³
E above lowest polymorph = 34 meV/atom

***

Entry 5:
PbWO4 at its PBEsol-relaxed geometry. Source: Alexandria, functional meta-GGA SCAN.

a b c (Å): 7.0494 7.3584 12.7136
angles (deg): 89.07 90.00 90.00
Element x y z (fractional)
W1 0.1626 0.0874 0.9172
Pb1 0.3049 0.8424 0.1523
O1 0.9166 0.2836 0.3174
O2 0.5757 0.4380 0.4206
O3 0.7519 0.4474 0.7146
Pb2 0.4368 0.8792 0.6517
O4 0.4166 0.2164 0.1826
Pb3 0.1951 0.3424 0.6523
O5 0.2018 0.0304 0.3302
O6 0.3624 0.5321 0.0582
W2 0.3374 0.5874 0.4172
O7 0.9912 0.7185 0.1129
O8 0.7982 0.9696 0.6698
O9 0.2519 0.0526 0.7854
O10 0.1310 0.6997 0.4730
O11 0.4243 0.5620 0.5794
O12 0.7231 0.1671 0.0427
O13 0.6376 0.4679 0.9418
O14 0.1376 0.0321 0.5582
O15 0.2769 0.8329 0.9573
O16 0.7769 0.6671 0.5427
W3 0.0497 0.1534 0.4143
Pb4 0.6951 0.1576 0.8477
W4 0.6626 0.4126 0.5828
O17 0.5088 0.2185 0.6129
O18 0.9243 0.9380 0.9206
O19 0.8624 0.9679 0.4418
O20 0.0757 0.0620 0.0794
O21 0.4912 0.7815 0.3871
Pb5 0.8049 0.6576 0.3477
Pb6 0.5632 0.1208 0.3483
Pb7 0.0632 0.3792 0.1517
W5 0.4503 0.6534 0.9143
O22 0.8690 0.3003 0.5270
W6 0.8374 0.9126 0.0828
W7 0.9503 0.8466 0.5857
O23 0.0834 0.7164 0.6826
O24 0.5834 0.7836 0.8174
Pb8 0.9368 0.6208 0.8483
O25 0.0088 0.2815 0.8871
O26 0.7481 0.9474 0.2146
O27 0.6310 0.8003 0.0270
W8 0.5497 0.3466 0.0857
O28 0.3690 0.1997 0.9730
O29 0.7018 0.4696 0.1698
O30 0.2481 0.5526 0.2854
O31 0.2231 0.3329 0.4573
O32 0.2982 0.5304 0.8302

V = 659 Å³/cell
electronic total energy = -30.380 eV per atom
space group = P2_1/c
formation energy without anion corrections = -1981 meV/atom
magnetic moment = 0.00 μB/f.u.
calculated density = 9.167 g cm⁻³
E above lowest polymorph = 29 meV/atom

***

Entry 6:
PbWO4 at its PBEsol-relaxed geometry. Source: Alexandria, functional meta-GGA SCAN.

a b c (Å): 5.4635 5.4635 7.0931
angles (deg): 112.65 112.65 90.00
Element x y z (fractional)
Pb1 0.5000 0.5000 0.0000
O1 0.3158 0.9373 0.1675
W1 0.0000 0.0000 0.0000
O2 0.0627 0.1483 0.8325
O3 0.1873 0.6017 0.6675
O4 0.7698 0.6842 0.8325
Pb2 0.7500 0.2500 0.5000
W2 0.2500 0.7500 0.5000
O5 0.8517 0.2302 0.1675
O6 0.4802 0.0658 0.6675
O7 0.3983 0.5198 0.3325
O8 0.9342 0.8127 0.3325

V = 178 Å³/cell
electronic total energy = -30.410 eV per atom
space group = I4_1/a
formation energy without anion corrections = -2011 meV/atom
magnetic moment = 0.00 μB/f.u.
calculated density = 8.511 g cm⁻³
E above lowest polymorph = 0 meV/atom

***

Entry 7:
PbWO4 at its PBEsol-relaxed geometry. Source: Alexandria, functional meta-GGA SCAN.

a b c (Å): 4.9913 5.5826 13.6094
angles (deg): 71.22 90.00 90.00
Element x y z (fractional)
O1 0.6174 0.0895 0.1540
O2 0.1127 0.5284 0.8140
Pb1 0.2021 0.8320 0.1527
Pb2 0.7021 0.1680 0.3473
W1 0.2494 0.6096 0.4229
O3 0.4528 0.2700 0.5211
W2 0.7505 0.3904 0.5771
O4 0.4412 0.6118 0.0593
O5 0.3873 0.5284 0.3140
O6 0.8873 0.4716 0.1860
O7 0.0588 0.6118 0.5593
O8 0.5588 0.3882 0.9407
O9 0.9412 0.3882 0.4407
W3 0.2506 0.6096 0.9229
O10 0.9528 0.7300 0.9789
O11 0.6127 0.4716 0.6860
O12 0.5472 0.7300 0.4789
O13 0.1174 0.9105 0.3460
Pb3 0.7979 0.1680 0.8473
O14 0.8826 0.0895 0.6540
O15 0.0472 0.2700 0.0211
Pb4 0.2979 0.8320 0.6527
W4 0.7495 0.3904 0.0771
O16 0.3826 0.9105 0.8460

V = 359 Å³/cell
electronic total energy = -30.399 eV per atom
space group = P2_1/c
formation energy without anion corrections = -2000 meV/atom
magnetic moment = 0.00 μB/f.u.
calculated density = 8.418 g cm⁻³
E above lowest polymorph = 11 meV/atom

***

Entry 8:
Y2PbO at its PBEsol-relaxed geometry. Source: Alexandria, functional meta-GGA SCAN.

a b c (Å): 4.9930 4.9930 4.9930
angles (deg): 60.00 60.00 60.00
Element x y z (fractional)
Pb1 0.5000 0.5000 0.5000
Y1 0.7500 0.7500 0.7500
Y2 0.2500 0.2500 0.2500
O1 0.0000 0.0000 0.0000

V = 88 Å³/cell
electronic total energy = -35.356 eV per atom
space group = Fm-3m
formation energy without anion corrections = -931 meV/atom
magnetic moment = 0.01 μB/f.u.
calculated density = 7.566 g cm⁻³

***

Entry 9:
Y2PbO2 at its PBEsol-relaxed geometry. Source: Alexandria, functional meta-GGA SCAN.

a b c (Å): 3.7931 3.7931 7.4747
angles (deg): 104.70 104.70 90.00
Element x y z (fractional)
Y1 0.6704 0.6704 0.3407
O1 0.2500 0.7500 0.5000
Pb1 0.0000 0.0000 0.0000
O2 0.7500 0.2500 0.5000
Y2 0.3296 0.3296 0.6593

V = 100 Å³/cell
electronic total energy = -31.652 eV per atom
space group = I4/mmm
formation energy without anion corrections = -2867 meV/atom
magnetic moment = 0.00 μB/f.u.
calculated density = 6.898 g cm⁻³

***

Entry 10:
ZnPbO3 at its PBEsol-relaxed geometry. Source: Alexandria, functional meta-GGA SCAN.

a b c (Å): 5.4394 5.4394 5.7197
angles (deg): 61.61 61.61 60.00
Element x y z (fractional)
O1 0.1882 0.5926 0.3014
Pb1 0.0090 0.0090 0.9730
O2 0.4177 0.0926 0.8014
O3 0.5926 0.9177 0.3014
Pb2 0.5090 0.5090 0.4730
Zn1 0.7910 0.7910 0.6270
O4 0.0926 0.6882 0.8014
O5 0.9177 0.1882 0.3014
O6 0.6882 0.4177 0.8014
Zn2 0.2910 0.2910 0.1270

V = 122 Å³/cell
electronic total energy = -22.752 eV per atom
space group = R3c
formation energy without anion corrections = -1154 meV/atom
magnetic moment = 0.00 μB/f.u.
calculated density = 8.693 g cm⁻³

***

Entry 11:
ZrPbO3 at its PBEsol-relaxed geometry. Source: Alexandria, functional meta-GGA SCAN.

a b c (Å): 5.8094 5.8292 8.2250
angles (deg): 90.00 90.00 90.00
Element x y z (fractional)
Pb1 0.4941 0.0210 0.2500
Zr1 0.5000 0.5000 0.5000
O1 0.5716 0.4880 0.2500
O2 0.0716 0.0120 0.7500
O3 0.2859 0.7855 0.0375
Pb2 0.5059 0.9790 0.7500
O4 0.4284 0.5120 0.7500
O5 0.7859 0.7145 0.9625
O6 0.7141 0.2145 0.5375
O7 0.2859 0.7855 0.4625
Pb3 0.9941 0.4790 0.7500
Zr2 0.0000 0.0000 0.0000
O8 0.7859 0.7145 0.5375
Pb4 0.0059 0.5210 0.2500
O9 0.2141 0.2855 0.0375
O10 0.2141 0.2855 0.4625
Zr3 0.0000 0.0000 0.5000
O11 0.9284 0.9880 0.2500
O12 0.7141 0.2145 0.9625
Zr4 0.5000 0.5000 0.0000

V = 279 Å³/cell
electronic total energy = -27.730 eV per atom
space group = Pnma
formation energy without anion corrections = -2695 meV/atom
magnetic moment = 0.00 μB/f.u.
calculated density = 8.261 g cm⁻³

***

Entry 12:
ZrPbO3 at its PBEsol-relaxed geometry. Source: Alexandria, functional meta-GGA SCAN.

a b c (Å): 5.8727 8.1767 11.7750
angles (deg): 90.00 90.00 90.00
Element x y z (fractional)
Zr1 0.7580 0.7503 0.1244
Zr2 0.7420 0.2497 0.6244
Zr3 0.7420 0.7503 0.6244
O1 0.3005 0.5000 0.9063
O2 0.0000 0.2284 0.0000
O3 0.4677 0.7182 0.2381
O4 0.0000 0.2021 0.5000
Pb1 0.2098 0.5000 0.6284
O5 0.6995 0.5000 0.0937
O6 0.9677 0.7182 0.2619
O7 0.5000 0.7716 0.5000
Zr4 0.2580 0.2497 0.3756
O8 0.1995 0.5000 0.4063
O9 0.7241 0.0000 0.1578
O10 0.5323 0.7182 0.7619
Pb2 0.7008 0.0000 0.8766
Pb3 0.7098 0.5000 0.8716
Pb4 0.2992 0.0000 0.1234
O11 0.0323 0.2818 0.7381
O12 0.9677 0.2818 0.2619
O13 0.5323 0.2818 0.7619
O14 0.4677 0.2818 0.2381
Pb5 0.7992 0.0000 0.3766
Pb6 0.2008 0.0000 0.6234
Zr5 0.2420 0.2497 0.8756
Pb7 0.2902 0.5000 0.1284
Zr6 0.7580 0.2497 0.1244
O15 0.5000 0.2021 0.0000
Pb8 0.7902 0.5000 0.3716
Zr7 0.2420 0.7503 0.8756
O16 0.0323 0.7182 0.7381
O17 0.2241 0.0000 0.3422
O18 0.7759 0.0000 0.6578
Zr8 0.2580 0.7503 0.3756
O19 0.0000 0.7716 0.0000
O20 0.5000 0.2284 0.5000
O21 0.2759 0.0000 0.8422
O22 0.5000 0.7979 0.0000
O23 0.8005 0.5000 0.5937
O24 0.0000 0.7979 0.5000

V = 565 Å³/cell
electronic total energy = -27.741 eV per atom
space group = Pbam
formation energy without anion corrections = -2706 meV/atom
magnetic moment = 0.00 μB/f.u.
calculated density = 8.139 g cm⁻³

***

What is the formula in the second record? V3Pb5O12